Entry 1:
4
Lattice="-2.241 3.753 2.812 -0.597 -1.344 4.986 4.022 -0.106 -3.291" Properties=species:S:1:pos:R:3 comment="ScAg2W (PBE-GGA, optimized geometry)" relative_energy_ev_per_atom=0.312 mass_density_g_cm3=10.227 formation_enthalpy_0k_ev_per_atom=0.5095 space_group=I-4m2 final_energy_ev_per_fu=-22.949 pbc="T T T"
Ag 1.003 -0.123 2.797
Ag 0.000 0.000 0.000
Sc -1.419 1.205 3.899
W 0.181 2.426 1.710

***

Entry 2:
4
Lattice="-4.205 2.625 3.525 -3.318 -0.202 5.094 3.134 3.054 3.732" Properties=species:S:1:pos:R:3 comment="KScCd2 (PBE-GGA, optimized geometry)" relative_energy_ev_per_atom=0.167 mass_density_g_cm3=4.684 formation_enthalpy_0k_ev_per_atom=0.1012 space_group=Cm final_energy_ev_per_fu=-8.854 pbc="T T T"
Cd -1.197 1.483 3.350
Sc -2.876 4.273 9.326
K -2.483 2.620 6.126
Cd -4.418 5.314 12.075

***

Entry 3:
4
Lattice="-2.651 -4.343 9.106 -1.543 -6.745 7.806 0.246 -4.876 9.218" Properties=species:S:1:pos:R:3 comment="TaBeAs2 (PBE-GGA, optimized geometry)" mass_density_g_cm3=7.288 formation_enthalpy_0k_ev_per_atom=0.2029 space_group=R3m final_energy_ev_per_fu=-24.066 pbc="T T T"
Be -1.960 -7.927 12.976
As -0.095 -0.383 0.627
As -0.862 -3.487 5.708
Ta -3.004 -12.148 19.884

***

Entry 4:
4
Lattice="-2.369 4.096 5.619 -4.484 -3.064 4.947 6.562 0.017 -3.302" Properties=species:S:1:pos:R:3 comment="Sr2LaSc (PBE-GGA, optimized geometry)" relative_energy_ev_per_atom=0.118 mass_density_g_cm3=3.701 formation_enthalpy_0k_ev_per_atom=0.2492 space_group=Imm2 final_energy_ev_per_fu=-13.626 pbc="T T T"
Sr -6.679 1.006 10.298
Sr -0.689 -1.263 3.487
La -3.658 0.551 5.641
Sc 0.456 2.304 3.688

***

Entry 5:
4
Lattice="-6.841 -4.924 -6.436 -4.400 -7.588 -5.961 -7.057 -7.093 -3.516" Properties=species:S:1:pos:R:3 comment="ZrTe2Br (PBE-GGA, optimized geometry)" relative_energy_ev_per_atom=0.157 mass_density_g_cm3=5.924 space_group=R3m final_energy_ev_per_fu=-18.833 pbc="T T T"
Br -14.202 -15.217 -12.350
Zr -9.180 -9.835 -7.983
Te -4.213 -4.514 -3.663
Te -18.150 -19.447 -15.784

***

Entry 6:
3
Lattice="5.154 0.000 0.000 2.577 4.464 0.000 2.577 1.488 4.208" Properties=species:S:1:pos:R:3 comment="PmHoHg (PBE-GGA, optimized geometry)" relative_energy_ev_per_atom=0.204 mass_density_g_cm3=8.755 formation_enthalpy_0k_ev_per_atom=-0.0980 space_group=F-43m final_energy_ev_per_fu=-9.924 pbc="T T T"
Hg 2.577 1.488 1.052
Pm 5.154 2.976 2.104
Ho 0.000 0.000 0.000